Entry 1:
{
  "formula": "WCl3",
  "functional": "GGA-PBE",
  "state": "optimized geometry",
  "cell": [[5.232, -0.005, -0.012], [-2.258, 4.719, -0.012], [-2.258, -3.580, 3.074]],
  "species": ["W", "Cl", "Cl", "Cl"],
  "frac_coords": [[0.000, 0.500, 0.500], [0.000, 0.000, 0.000], [0.500, 0.000, 0.500], [0.500, 0.500, 0.000]],
  "dos_at_fermi_per_ev_cell": 2.84,
  "formation_energy_uncorrected_ev_per_atom": 0.92,
  "e_tot_ev_per_cell": -14.825,
  "polymorph_energy_mev_per_atom": 1699.7,
  "mass_density_g_cm3": 6.4,
  "magmom_total_mub_per_fu": 2.13
}

Entry 2:
{
  "formula": "W2Cl",
  "functional": "GGA-PBE",
  "state": "optimized geometry",
  "cell": [[1.607, -8.091, 0.000], [1.607, 8.091, 0.000], [0.000, 0.000, 4.854]],
  "species": ["W", "W", "W", "W", "Cl", "Cl"],
  "frac_coords": [[0.346, 0.654, 0.250], [0.654, 0.346, 0.750], [0.729, 0.271, 0.250], [0.271, 0.729, 0.750], [0.079, 0.921, 0.250], [0.921, 0.079, 0.750]],
  "dos_at_fermi_per_ev_cell": 2.92,
  "formation_energy_uncorrected_ev_per_atom": 0.48,
  "e_tot_ev_per_cell": -52.606,
  "polymorph_energy_mev_per_atom": 327.2,
  "mass_density_g_cm3": 10.6,
  "magmom_total_mub_per_fu": 0.00
}

Entry 3:
{
  "formula": "W2Cl",
  "functional": "GGA-PBE",
  "state": "optimized geometry",
  "cell": [[2.877, 0.000, 0.000], [-1.439, 2.492, 0.000], [0.000, 0.000, 6.660]],
  "species": ["Cl", "W", "W"],
  "frac_coords": [[0.000, 0.000, 0.000], [0.667, 0.333, 0.674], [0.333, 0.667, 0.326]],
  "dos_at_fermi_per_ev_cell": 2.23,
  "formation_energy_uncorrected_ev_per_atom": 0.59,
  "e_tot_ev_per_cell": -25.969,
  "polymorph_energy_mev_per_atom": 438.6,
  "mass_density_g_cm3": 14.0,
  "magmom_total_mub_per_fu": 0.00
}

Entry 4:
{
  "formula": "W2Cl",
  "functional": "GGA-PBE",
  "state": "optimized geometry",
  "cell": [[-0.564, 2.293, 4.357], [-4.159, -1.488, -2.246], [2.617, -4.105, 0.926]],
  "species": ["W", "W", "W", "W", "Cl", "Cl"],
  "frac_coords": [[0.151, 0.349, 0.500], [0.849, 0.651, 0.500], [0.651, 0.151, 0.802], [0.349, 0.849, 0.198], [0.750, 0.750, 0.000], [0.250, 0.250, 0.000]],
  "dos_at_fermi_per_ev_cell": 3.97,
  "formation_energy_uncorrected_ev_per_atom": 1.35,
  "e_tot_ev_per_cell": -47.379,
  "polymorph_energy_mev_per_atom": 1198.3,
  "mass_density_g_cm3": 14.4,
  "magmom_total_mub_per_fu": 0.00
}

Entry 5:
{
  "formula": "WCl4",
  "functional": "GGA-PBE",
  "state": "optimized geometry",
  "cell": [[-3.023, 3.023, 3.023], [3.023, -3.023, 3.023], [3.023, 3.023, -3.023]],
  "species": ["W", "Cl", "Cl", "Cl", "Cl"],
  "frac_coords": [[0.000, 0.000, 0.000], [0.500, 0.000, 0.000], [0.500, 0.500, 0.500], [0.000, 0.500, 0.000], [0.000, 0.000, 0.500]],
  "dos_at_fermi_per_ev_cell": 6.97,
  "formation_energy_uncorrected_ev_per_atom": 0.11,
  "e_tot_ev_per_cell": -19.765,
  "mass_density_g_cm3": 4.9,
  "magmom_total_mub_per_fu": 2.15
}

Entry 6:
{
  "formula": "WCl3",
  "functional": "GGA-PBE",
  "state": "optimized geometry",
  "cell": [[0.000, 3.320, 3.320], [3.320, 0.000, 3.320], [3.320, 3.320, 0.000]],
  "species": ["W", "Cl", "Cl", "Cl"],
  "frac_coords": [[0.500, 0.500, 0.500], [0.250, 0.250, 0.250], [0.750, 0.750, 0.750], [0.000, 0.000, 0.000]],
  "dos_at_fermi_per_ev_cell": 2.17,
  "formation_energy_uncorrected_ev_per_atom": 0.76,
  "e_tot_ev_per_cell": -15.459,
  "polymorph_energy_mev_per_atom": 1541.3,
  "mass_density_g_cm3": 6.6,
  "magmom_total_mub_per_fu": 3.00
}

Entry 7:
{
  "formula": "W2Cl",
  "functional": "GGA-PBE",
  "state": "optimized geometry",
  "cell": [[4.083, 0.000, 0.000], [0.000, 4.417, 0.000], [0.000, 0.000, 5.647]],
  "species": ["W", "W", "W", "W", "Cl", "Cl"],
  "frac_coords": [[0.000, 0.239, 0.633], [0.000, 0.761, 0.367], [0.500, 0.739, 0.867], [0.500, 0.261, 0.133], [0.000, 0.000, 0.000], [0.500, 0.500, 0.500]],
  "dos_at_fermi_per_ev_cell": 4.42,
  "formation_energy_uncorrected_ev_per_atom": 1.56,
  "e_tot_ev_per_cell": -46.144,
  "polymorph_energy_mev_per_atom": 1404.1,
  "mass_density_g_cm3": 13.1,
  "magmom_total_mub_per_fu": 0.00
}

Entry 8:
{
  "formula": "W3Cl5",
  "functional": "GGA-PBE",
  "state": "optimized geometry",
  "cell": [[4.427, -6.035, 0.000], [4.427, 6.035, 0.000], [0.000, 0.000, 3.011]],
  "species": ["W", "W", "W", "Cl", "Cl", "Cl", "Cl", "Cl"],
  "frac_coords": [[0.500, 0.500, 0.000], [0.684, 0.316, 0.500], [0.316, 0.684, 0.500], [0.000, 0.000, 0.000], [0.000, 0.500, 0.000], [0.500, 0.000, 0.000], [0.280, 0.280, 0.500], [0.720, 0.720, 0.500]],
  "dos_at_fermi_per_ev_cell": 5.67,
  "formation_energy_uncorrected_ev_per_atom": 0.53,
  "e_tot_ev_per_cell": -43.835,
  "polymorph_energy_mev_per_atom": 0.0,
  "mass_density_g_cm3": 7.5,
  "magmom_total_mub_per_fu": 2.64
}

Entry 9:
{
  "formula": "WCl3",
  "functional": "GGA-PBE",
  "state": "optimized geometry",
  "cell": [[5.736, -7.010, 0.000], [5.736, 7.010, 0.000], [0.000, 0.000, 3.263]],
  "species": ["W", "W", "Cl", "Cl", "Cl", "Cl", "Cl", "Cl"],
  "frac_coords": [[0.431, 0.569, 0.250], [0.569, 0.431, 0.750], [0.926, 0.074, 0.750], [0.074, 0.926, 0.250], [0.814, 0.539, 0.750], [0.186, 0.461, 0.250], [0.461, 0.186, 0.750], [0.539, 0.814, 0.250]],
  "dos_at_fermi_per_ev_cell": 7.44,
  "formation_energy_uncorrected_ev_per_atom": -0.14,
  "e_tot_ev_per_cell": -38.115,
  "polymorph_energy_mev_per_atom": 641.6,
  "mass_density_g_cm3": 3.7,
  "magmom_total_mub_per_fu": 0.92
}

Entry 10:
{
  "formula": "WCl4",
  "functional": "GGA-PBE",
  "state": "optimized geometry",
  "cell": [[7.662, 0.037, 0.000], [2.664, 4.885, 0.000], [3.831, 0.019, 7.542]],
  "species": ["W", "W", "Cl", "Cl", "Cl", "Cl", "Cl", "Cl", "Cl", "Cl"],
  "frac_coords": [[0.049, 0.250, 0.903], [0.951, 0.750, 0.097], [0.358, 0.280, 0.685], [0.957, 0.220, 0.685], [0.160, 0.258, 0.127], [0.713, 0.242, 0.127], [0.840, 0.742, 0.873], [0.287, 0.758, 0.873], [0.043, 0.780, 0.315], [0.642, 0.720, 0.315]],
  "dos_at_fermi_per_ev_cell": 1.12,
  "formation_energy_uncorrected_ev_per_atom": -0.78,
  "e_tot_ev_per_cell": -48.443,
  "mass_density_g_cm3": 3.8,
  "magmom_total_mub_per_fu": 0.00
}

Entry 11:
{
  "formula": "W2Cl",
  "functional": "GGA-PBE",
  "state": "optimized geometry",
  "cell": [[12.099, 2.655, -0.067], [10.552, 6.258, 1.709], [-11.122, -5.333, 1.134]],
  "species": ["W", "W", "W", "W", "Cl", "Cl"],
  "frac_coords": [[0.163, 0.663, 0.500], [0.587, 0.587, 0.000], [0.337, 0.837, 0.500], [0.413, 0.413, 0.000], [0.750, 0.250, 0.500], [0.000, 0.000, 0.000]],
  "dos_at_fermi_per_ev_cell": 5.01,
  "formation_energy_uncorrected_ev_per_atom": 1.04,
  "e_tot_ev_per_cell": -49.283,
  "polymorph_energy_mev_per_atom": 880.9,
  "mass_density_g_cm3": 11.8,
  "magmom_total_mub_per_fu": 0.00
}

Entry 12:
{
  "formula": "WCl3",
  "functional": "GGA-PBE",
  "state": "optimized geometry",
  "cell": [[1.784, 0.000, 10.127], [-0.892, 1.545, 10.127], [-0.892, -1.545, 10.127]],
  "species": ["W", "Cl", "Cl", "Cl"],
  "frac_coords": [[0.500, 0.500, 0.500], [0.000, 0.000, 0.000], [0.891, 0.891, 0.891], [0.109, 0.109, 0.109]],
  "dos_at_fermi_per_ev_cell": 2.19,
  "formation_energy_uncorrected_ev_per_atom": -0.04,
  "e_tot_ev_per_cell": -18.649,
  "polymorph_energy_mev_per_atom": 743.8,
  "mass_density_g_cm3": 5.8,
  "magmom_total_mub_per_fu": 0.00
}

Entry 13:
{
  "formula": "W5Cl",
  "functional": "GGA-PBE",
  "state": "optimized geometry",
  "cell": [[3.857, -1.530, 4.178], [4.836, 1.164, 3.151], [-1.891, 2.585, 4.975]],
  "species": ["W", "W", "W", "W", "W", "Cl"],
  "frac_coords": [[0.664, 0.664, 0.644], [0.331, 0.331, 0.341], [0.379, 0.379, 0.751], [0.042, 0.042, 0.386], [0.721, 0.721, 0.085], [0.029, 0.029, 0.960]],
  "dos_at_fermi_per_ev_cell": 4.58,
  "formation_energy_uncorrected_ev_per_atom": 0.65,
  "e_tot_ev_per_cell": -62.724,
  "polymorph_energy_mev_per_atom": 0.0,
  "mass_density_g_cm3": 16.1,
  "magmom_total_mub_per_fu": 0.00
}